i | Entry from Alexandria: a relaxed VAg3F6 crystal (PBE with a Hubbard U).

Computed properties:
Symmetry: Fmmm (69)

```
VAg3F6
1.0
0.000 4.145 5.189
3.804 0.000 5.189
3.804 4.145 0.000
V Ag F
1 3 6
Direct
0.000 0.000 0.000
0.250 0.250 0.250
0.500 0.500 0.500
0.750 0.750 0.750
0.049 0.685 0.951
0.240 0.760 0.240
0.315 0.951 0.685
0.685 0.049 0.315
0.760 0.240 0.760
0.951 0.315 0.049
```

***

ii | Entry from Alexandria: a relaxed VAg3F6 crystal (PBE with a Hubbard U).

Computed properties:
Symmetry: R-3c (167)

```
VAg3F6
1.0
5.014 2.895 3.878
-5.014 2.895 3.878
0.000 -5.790 3.878
V Ag F
2 6 12
Direct
0.000 0.000 0.000
0.500 0.500 0.500
0.063 0.750 0.437
0.250 0.563 0.937
0.437 0.063 0.750
0.563 0.937 0.250
0.750 0.437 0.063
0.937 0.250 0.563
0.025 0.282 0.974
0.026 0.975 0.718
0.218 0.475 0.526
0.282 0.974 0.025
0.474 0.782 0.525
0.475 0.526 0.218
0.525 0.474 0.782
0.526 0.218 0.475
0.718 0.026 0.975
0.782 0.525 0.474
0.974 0.025 0.282
0.975 0.718 0.026
```

***

Which structure wins on stability? ii wins.

***

i | Entry from Alexandria: a relaxed V2Ag2F crystal (PBE with a Hubbard U).

Computed properties:
Symmetry: I4/mmm (139)

```
V2Ag2F
1.0
3.728 0.000 0.000
0.000 3.728 0.000
0.000 0.000 14.697
V Ag F
4 4 2
Direct
0.000 0.000 0.094
0.000 0.000 0.906
0.500 0.500 0.406
0.500 0.500 0.594
0.000 0.500 0.250
0.000 0.500 0.750
0.500 0.000 0.250
0.500 0.000 0.750
0.000 0.000 0.500
0.500 0.500 0.000
```

***

ii | Entry from Alexandria: a relaxed V2Ag2F crystal (PBE with a Hubbard U).

Computed properties:
Symmetry: P4/mbm (127)

```
V2Ag2F
1.0
5.975 0.000 0.000
0.000 5.975 0.000
0.000 0.000 5.019
V Ag F
4 4 2
Direct
0.182 0.318 0.000
0.318 0.818 0.000
0.682 0.182 0.000
0.818 0.682 0.000
0.157 0.657 0.500
0.343 0.157 0.500
0.657 0.843 0.500
0.843 0.343 0.500
0.000 0.000 0.000
0.500 0.500 0.000
```

***

Which structure wins on stability? ii wins.

***

i | Entry from Alexandria: a relaxed VAgF3 crystal (PBE with a Hubbard U).

Computed properties:
Symmetry: Pm-3m (221)

```
VAgF3
1.0
4.400 0.000 0.000
0.000 4.400 0.000
0.000 0.000 4.400
V Ag F
1 1 3
Direct
0.000 0.000 0.000
0.500 0.500 0.500
0.000 0.500 0.500
0.500 0.000 0.500
0.500 0.500 0.000
```

***

ii | Entry from Alexandria: a relaxed VAgF3 crystal (PBE with a Hubbard U).

Computed properties:
Symmetry: Pm-3m (221)

```
VAgF3
1.0
4.145 0.000 0.000
0.000 4.145 0.000
0.000 0.000 4.145
V Ag F
1 1 3
Direct
0.000 0.000 0.000
0.500 0.500 0.500
0.000 0.000 0.500
0.000 0.500 0.000
0.500 0.000 0.000
```

***

Which structure wins on stability? ii wins.

***

i | Entry from Alexandria: a relaxed AgWF6 crystal (PBE with a Hubbard U).

Computed properties:
Symmetry: C2/m (12)

```
AgWF6
1.0
7.625 0.000 0.000
0.000 6.638 0.000
-1.744 0.000 5.161
Ag W F
2 2 12
Direct
0.000 0.000 0.000
0.500 0.500 0.000
0.000 0.500 0.500
0.500 0.000 0.500
0.066 0.294 0.772
0.066 0.706 0.772
0.248 0.500 0.492
0.252 0.000 0.508
0.434 0.206 0.228
0.434 0.794 0.228
0.566 0.206 0.772
0.566 0.794 0.772
0.748 0.000 0.492
0.752 0.500 0.508
0.934 0.294 0.228
0.934 0.706 0.228
```

***

ii | Entry from Alexandria: a relaxed AgWF6 crystal (PBE with a Hubbard U).

Computed properties:
Symmetry: P-1 (2)

```
AgWF6
1.0
5.557 0.000 0.000
2.762 4.896 0.000
0.088 3.132 5.320
Ag W F
1 1 6
Direct
0.000 0.000 0.000
0.500 0.000 0.500
0.153 0.129 0.293
0.284 0.132 0.722
0.411 0.425 0.283
0.589 0.575 0.717
0.716 0.868 0.278
0.847 0.871 0.707
```

***

Which structure wins on stability? ii wins.